1.
A geometry-optimized CeFeH6Rh structure. Source: Alexandria, functional PBE.

Cell lengths 4.567, 4.567, 4.291 Å; angles 90.00, 90.00, 60.00 degrees
Last column: magnetic moment on the atom in μB.
Fractional positions:
Ce1 0.000 0.000 0.000  -0.61
Fe1 0.333 0.333 0.500  2.12
H1 0.013 0.494 0.238  -0.01
H2 0.494 0.013 0.762  -0.01
H3 0.493 0.494 0.762  -0.01
H4 0.013 0.494 0.762  -0.01
H5 0.494 0.494 0.237  -0.01
H6 0.493 0.013 0.237  -0.01
Rh1 0.667 0.667 0.500  0.27

Space-group type: No. 187
Energy: -4.9520 eV/atom
M_tot: 0.1919 μB per atom

=====

2.
A geometry-optimized LaGe4Os2 structure. Source: Alexandria, functional PBE.

Cell lengths 4.301, 6.846, 17.305 Å; angles 90.00, 90.00, 90.00 degrees
Fractional positions:
Ge1 0.250 0.325 0.692
Ge2 0.750 0.675 0.308
Ge3 0.750 0.825 0.808
Ge4 0.250 0.175 0.192
Ge5 0.250 0.749 0.691
Ge6 0.750 0.251 0.309
Ge7 0.750 0.249 0.809
Ge8 0.250 0.751 0.191
Ge9 0.250 0.139 0.527
Ge10 0.750 0.861 0.473
Ge11 0.750 0.639 0.973
Ge12 0.250 0.361 0.027
Ge13 0.250 0.486 0.439
Ge14 0.750 0.514 0.561
Ge15 0.750 0.986 0.061
Ge16 0.250 0.014 0.939
Os1 0.250 0.756 0.540
Os2 0.750 0.244 0.460
Os3 0.750 0.256 0.960
Os4 0.250 0.744 0.040
Os5 0.250 0.034 0.794
Os6 0.750 0.966 0.206
Os7 0.750 0.534 0.706
Os8 0.250 0.466 0.294
La1 0.750 0.046 0.643
La2 0.250 0.954 0.357
La3 0.250 0.546 0.857
La4 0.750 0.454 0.143

Space-group type: No. 62
Energy: -6.8582 eV/atom
M_tot: 0.0000 μB per atom
ΔE_f: -307 meV per atom

=====

3.
A geometry-optimized Y3Ga structure. Source: Alexandria, functional PBE.

Cell lengths 3.466, 3.436, 10.021 Å; angles 90.00, 90.00, 90.00 degrees
Last column: magnetic moment on the atom in μB.
Fractional positions:
Y1 0.000 0.500 0.469  0.13
Y2 0.500 0.500 0.156  0.15
Y3 0.500 0.000 0.732  0.04
Ga1 0.000 0.000 0.976  0.00

Space-group type: No. 25
Energy: -5.6367 eV/atom
M_tot: 0.1567 μB per atom
ΔE_f: -32 meV per atom

=====

4.
A geometry-optimized MnTe2Mo structure. Source: Alexandria, functional PBE.

Cell lengths 3.445, 3.445, 7.736 Å; angles 90.00, 90.00, 90.00 degrees
Last column: magnetic moment on the atom in μB.
Fractional positions:
Mn1 0.000 0.000 0.525  3.32
Mo1 0.500 0.500 0.717  -0.13
Te1 0.000 0.000 0.901  0.04
Te2 0.500 0.500 0.357  -0.07

Energy above the lowest structure with this stoichiometry: 83 meV per atom
Space-group type: No. 99
Energy: -6.5364 eV/atom
M_tot: 0.8277 μB per atom
Formation energy from raw total energies: 0.0346 eV/atom

=====

5.
A geometry-optimized TbInAu4 structure. Source: Alexandria, functional PBE.

Cell lengths 5.616, 5.616, 5.616 Å; angles 60.00, 60.00, 60.00 degrees
Fractional positions:
Tb1 0.250 0.250 0.250
Au1 0.625 0.625 0.125
Au2 0.625 0.125 0.625
Au3 0.625 0.625 0.625
Au4 0.125 0.625 0.625
In1 0.000 0.000 0.000

Energy above the lowest structure with this stoichiometry: 78 meV per atom
Space-group type: No. 216
Energy: -3.8529 eV/atom
M_tot: 0.0000 μB per atom
ΔE_f: -440 meV per atom

=====

6.
A geometry-optimized La2MgCd structure. Source: Alexandria, functional PBE.

Cell lengths 6.213, 6.213, 6.213 Å; angles 134.75, 134.75, 65.92 degrees
Fractional positions:
Mg1 0.500 0.500 0.000
Cd1 0.750 0.250 0.500
La1 0.000 0.000 0.000
La2 0.250 0.750 0.500

Space-group type: No. 119
Energy: -3.2302 eV/atom
M_tot: 0.0000 μB per atom
ΔE_f: -139 meV per atom

=====

7.
A geometry-optimized CuNiPd2 structure. Source: Alexandria, functional PBE.

Cell lengths 2.717, 2.717, 8.703 Å; angles 81.02, 81.02, 60.00 degrees
Last column: magnetic moment on the atom in μB.
Fractional positions:
Cu1 0.500 0.500 0.501  0.02
Ni1 0.667 0.667 0.999  0.82
Pd1 0.082 0.082 0.753  0.13
Pd2 0.251 0.251 0.247  0.14

Space-group type: No. 160
Energy: -5.0468 eV/atom
M_tot: 0.2640 μB per atom
ΔE_f: 19 meV per atom

=====

8.
A geometry-optimized KBa2O structure. Source: Alexandria, functional PBE.

Cell lengths 8.386, 8.386, 8.351 Å; angles 59.86, 59.86, 90.00 degrees
Fractional positions:
K1 0.000 0.000 0.000
K2 0.750 0.250 0.500
Ba1 0.424 0.125 0.250
Ba2 0.326 0.625 0.250
Ba3 0.375 0.576 0.750
Ba4 0.875 0.674 0.750
O1 0.500 0.500 0.000
O2 0.250 0.750 0.500

Space-group type: No. 122
Energy: -3.6313 eV/atom
M_tot: 0.0000 μB per atom
Formation energy from raw total energies: -1.1560 eV/atom